No. 1
Below is crystalline La4Pm15Th at its relaxed geometry, with properties calculated at the PBE level.

abc: 5.193 5.193 25.906
angles: 90.00 90.00 90.00
Atoms (fractional coordinates):
La 0.000 0.000 0.100
La 0.000 0.000 0.301
La 0.000 0.000 0.699
La 0.000 0.000 0.900
Pm 0.000 0.500 0.000
Pm 0.000 0.500 0.201
Pm 0.000 0.500 0.404
Pm 0.000 0.500 0.596
Pm 0.000 0.500 0.799
Pm 0.500 0.000 0.000
Pm 0.500 0.000 0.201
Pm 0.500 0.000 0.404
Pm 0.500 0.000 0.596
Pm 0.500 0.000 0.799
Pm 0.500 0.500 0.101
Pm 0.500 0.500 0.301
Pm 0.500 0.500 0.500
Pm 0.500 0.500 0.699
Pm 0.500 0.500 0.899
Th 0.000 0.000 0.500

Calculated values
Density of states at the Fermi level, states/eV per atom: 1.6018
Energy of formation, eV per formula unit: 0.49
Magnetic moment, Bohr magnetons per cell: 0.0
Space group: No. 123


No. 2
Below is crystalline La12PmTh7 at its relaxed geometry, with properties calculated at the PBE level.

abc: 10.170 10.170 10.170
angles: 109.47 109.47 109.47
Atoms (fractional coordinates):
La 0.089 0.310 0.779
La 0.221 0.531 0.310
La 0.221 0.911 0.690
La 0.310 0.221 0.531
La 0.310 0.779 0.089
La 0.469 0.690 0.779
La 0.531 0.310 0.221
La 0.690 0.221 0.911
La 0.690 0.779 0.469
La 0.779 0.089 0.310
La 0.779 0.469 0.690
La 0.911 0.690 0.221
Pm 0.000 0.000 0.000
Th 0.000 0.000 0.500
Th 0.000 0.500 0.000
Th 0.000 0.500 0.500
Th 0.500 0.000 0.000
Th 0.500 0.000 0.500
Th 0.500 0.500 0.000
Th 0.500 0.500 0.500

Calculated values
Density of states at the Fermi level, states/eV per atom: 2.2811
Energy of formation, eV per formula unit: 15.50
Magnetic moment, Bohr magnetons per cell: 0.1
Space group: No. 204


No. 3
Below is crystalline La2Pm12Th at its relaxed geometry, with properties calculated at the PBE level.

abc: 6.595 6.595 25.336
angles: 90.00 90.00 90.00
Atoms (fractional coordinates):
La 0.250 0.750 0.235
La 0.250 0.750 0.765
La 0.750 0.250 0.235
La 0.750 0.250 0.765
Pm 0.059 0.559 0.389
Pm 0.059 0.941 0.611
Pm 0.082 0.582 0.062
Pm 0.082 0.918 0.938
Pm 0.250 0.250 0.162
Pm 0.250 0.250 0.287
Pm 0.250 0.250 0.713
Pm 0.250 0.250 0.838
Pm 0.418 0.582 0.938
Pm 0.418 0.918 0.062
Pm 0.441 0.559 0.611
Pm 0.441 0.941 0.389
Pm 0.559 0.059 0.611
Pm 0.559 0.441 0.389
Pm 0.582 0.082 0.938
Pm 0.582 0.418 0.062
Pm 0.750 0.750 0.162
Pm 0.750 0.750 0.287
Pm 0.750 0.750 0.713
Pm 0.750 0.750 0.838
Pm 0.918 0.082 0.062
Pm 0.918 0.418 0.938
Pm 0.941 0.059 0.389
Pm 0.941 0.441 0.611
Th 0.250 0.750 0.500
Th 0.750 0.250 0.500

Calculated values
Density of states at the Fermi level, states/eV per atom: 1.4359
Energy of formation, eV per formula unit: 4.85
Magnetic moment, Bohr magnetons per cell: 0.0
Space group: No. 125


No. 4
Below is crystalline LaPmTh2 at its relaxed geometry, with properties calculated at the PBE level.

abc: 3.614 3.614 35.629
angles: 90.00 90.00 120.00
Atoms (fractional coordinates):
La 0.000 0.000 0.000
La 0.333 0.667 0.667
La 0.667 0.333 0.333
Pm 0.000 0.000 0.170
Pm 0.333 0.667 0.837
Pm 0.667 0.333 0.503
Th 0.000 0.000 0.419
Th 0.000 0.000 0.585
Th 0.333 0.667 0.086
Th 0.333 0.667 0.251
Th 0.667 0.333 0.752
Th 0.667 0.333 0.918

Calculated values
Offset from the most stable computed form, kJ/mol of formula units: 11.0
Density of states at the Fermi level, states/eV per atom: 1.5597
Energy of formation, eV per formula unit: 0.22
Magnetic moment, Bohr magnetons per cell: 0.0
Space group: No. 160


No. 5
Below is crystalline LaPm3Th at its relaxed geometry, with properties calculated at the PBE level.

abc: 6.355 6.355 11.196
angles: 90.00 90.00 128.75
Atoms (fractional coordinates):
La 0.159 0.841 0.000
La 0.841 0.159 0.000
Pm 0.151 0.849 0.309
Pm 0.151 0.849 0.691
Pm 0.500 0.500 0.175
Pm 0.500 0.500 0.825
Pm 0.849 0.151 0.309
Pm 0.849 0.151 0.691
Th 0.364 0.636 0.500
Th 0.636 0.364 0.500

Calculated values
Density of states at the Fermi level, states/eV per atom: 1.3310
Energy of formation, eV per formula unit: 0.81
Magnetic moment, Bohr magnetons per cell: 0.0
Space group: No. 65


No. 6
Below is crystalline LaPm6Th2 at its relaxed geometry, with properties calculated at the PBE level.

abc: 3.621 3.621 27.313
angles: 90.00 90.00 120.00
Atoms (fractional coordinates):
La 0.000 0.000 0.000
Pm 0.000 0.000 0.223
Pm 0.000 0.000 0.437
Pm 0.000 0.000 0.563
Pm 0.000 0.000 0.777
Pm 0.333 0.667 0.113
Pm 0.333 0.667 0.887
Th 0.333 0.667 0.332
Th 0.333 0.667 0.668

Calculated values
Density of states at the Fermi level, states/eV per atom: 1.9479
Energy of formation, eV per formula unit: 0.72
Magnetic moment, Bohr magnetons per cell: 0.0
Space group: No. 187